Material: Ho4Mo6O19
Method: DFT, PBE with a Hubbard U
State: optimized geometry

POSCAR file:
```
Ho4Mo6O19
1.0
-4.5205 4.5205 4.5205
4.5205 -4.5205 4.5205
4.5205 4.5205 -4.5205
Ho Mo O
4 6 19
Cartesian
3.2148 3.2148 -3.2148 Ho
3.2148 -3.2148 3.2148 Ho
1.3058 1.3058 1.3058 Ho
-3.2148 3.2148 3.2148 Ho
4.5205 0.0000 1.2816 Mo
4.5205 3.2390 0.0000 Mo
1.2816 4.5205 0.0000 Mo
3.2390 0.0000 4.5205 Mo
0.0000 1.2816 4.5205 Mo
0.0000 4.5205 3.2390 Mo
0.0000 0.0000 0.0000 O
2.8779 0.0000 0.0000 O
6.1632 0.0000 0.0000 O
4.1107 1.9315 -1.5212 O
6.0417 -0.4098 2.5890 O
1.9315 -1.5212 4.1107 O
0.0000 2.8779 0.0000 O
0.0000 0.0000 2.8779 O
2.9994 0.4098 2.5890 O
2.5890 2.9994 0.4098 O
4.9303 1.9315 1.5212 O
0.4098 2.5890 2.9994 O
2.5890 6.0417 -0.4098 O
-1.5212 4.1107 1.9315 O
0.0000 6.1632 0.0000 O
0.0000 0.0000 6.1632 O
1.9315 1.5212 4.9303 O
1.5212 4.9303 1.9315 O
-0.4098 2.5890 6.0417 O
```

The value obtained for the total energy is -7.5650 eV per atom.

Material: HoMoO5
Method: DFT, PBE with a Hubbard U
State: optimized geometry

POSCAR file:
```
HoMoO5
1.0
5.3075 0.0000 0.0000
0.0000 12.5474 0.0000
-3.0085 0.0000 6.1842
Ho Mo O
4 4 20
Cartesian
-0.0996 0.6810 1.7895 Ho
-1.6038 5.5927 4.8816 Ho
3.9028 6.9547 1.3026 Ho
2.3985 11.8664 4.3947 Ho
-0.4193 1.7450 5.2856 Mo
1.0850 4.5287 2.1935 Mo
1.2139 8.0188 3.9907 Mo
2.7182 10.8024 0.8986 Mo
-2.8173 7.2961 5.9062 O
-1.3130 11.5251 2.8141 O
-1.8631 0.7989 5.9600 O
-0.3588 5.4748 2.8679 O
0.1828 8.1669 2.5613 O
-1.3214 10.6543 5.6534 O
0.6870 2.8553 1.7687 O
-0.8173 3.4184 4.8608 O
0.0651 7.1896 5.2091 O
1.5693 11.6315 2.1171 O
0.7296 0.9159 4.0671 O
2.2339 5.3578 0.9750 O
3.1162 9.1290 1.3234 O
1.6120 9.6921 4.4155 O
3.6204 1.8932 0.5308 O
2.1161 4.3805 3.6229 O
2.6577 7.0726 3.3163 O
4.1620 11.7485 0.2242 O
3.6120 1.0224 3.3701 O
5.1162 5.2513 0.2780 O
```

The value obtained for the total energy is -7.3228 eV per atom.

Material: HoMoO5
Method: DFT, PBE with a Hubbard U
State: optimized geometry

POSCAR file:
```
HoMoO5
1.0
4.5110 -3.2118 0.0000
4.5110 3.2118 0.0000
-3.2016 0.0000 6.9389
Ho Mo O
2 2 10
Cartesian
2.1098 2.8732 5.2041 Ho
3.7106 -2.8732 1.7347 Ho
4.5110 0.0000 0.0000 Mo
2.9102 0.0000 3.4694 Mo
4.2978 1.8892 0.2762 O
3.1234 1.8892 3.1932 O
1.2113 0.1138 2.6610 O
-0.3895 -0.1138 6.1304 O
2.1098 0.5162 5.2041 O
3.7106 -0.5162 1.7347 O
6.2098 0.1138 0.8085 O
4.6090 -0.1138 4.2779 O
2.6970 -1.8892 3.7456 O
1.5226 -1.8892 6.6626 O
```

The value obtained for the total energy is -7.2692 eV per atom.

Material: HoMo2O6
Method: DFT, PBE with a Hubbard U
State: optimized geometry

POSCAR file:
```
HoMo2O6
1.0
4.8488 0.0000 0.0000
-0.0540 5.2310 0.0000
-0.0138 -2.5624 4.6915
Ho Mo O
1 2 6
Cartesian
0.0000 0.0000 0.0000 Ho
2.3887 2.6737 1.5860 Mo
2.4089 0.0254 3.2035 Mo
1.3081 -1.6492 3.0656 O
1.2973 3.4084 0.0930 O
1.3647 1.0127 1.6742 O
3.4760 1.7803 3.1197 O
3.5059 1.8826 0.0606 O
3.4921 4.2541 1.6657 O
```

The value obtained for the total energy is -7.5967 eV per atom.

Material: Ho2MoO6
Method: DFT, PBE with a Hubbard U
State: optimized geometry

POSCAR file:
```
Ho2MoO6
1.0
4.9901 0.0000 0.0000
0.0000 4.9901 0.0000
0.0000 0.0000 9.9340
Ho Mo O
4 2 12
Cartesian
0.0000 0.0000 1.6672 Ho
0.0000 0.0000 8.2668 Ho
2.4951 2.4951 3.2998 Ho
2.4951 2.4951 6.6342 Ho
0.0000 0.0000 4.9670 Mo
2.4951 2.4951 0.0000 Mo
0.9238 0.9238 3.5111 O
0.9238 0.9238 6.4229 O
1.1112 1.1112 0.0000 O
1.3838 3.6063 4.9670 O
1.5712 3.4189 1.4559 O
1.5712 3.4189 8.4781 O
3.4189 1.5712 1.4559 O
3.4189 1.5712 8.4781 O
3.6063 1.3838 4.9670 O
3.8789 3.8789 0.0000 O
4.0663 4.0663 3.5111 O
4.0663 4.0663 6.4229 O
```

The value obtained for the total energy is -7.8273 eV per atom.

Material: HoMo2O8
Method: DFT, PBE with a Hubbard U
State: optimized geometry

POSCAR file:
```
HoMo2O8
1.0
-2.4293 2.4293 5.4964
2.4293 -2.4293 5.4964
2.4293 2.4293 -5.4964
Ho Mo O
1 2 8
Cartesian
0.0000 0.0000 0.0000 Ho
2.4293 0.0000 2.7482 Mo
0.0000 2.4293 2.7482 Mo
3.5869 1.1351 -1.5729 O
1.1351 1.2717 -1.5729 O
1.2717 1.1351 1.5729 O
1.2942 -1.1576 7.0693 O
1.2942 1.1576 3.9235 O
-1.1576 1.2942 3.9235 O
1.1351 3.5869 1.5729 O
1.1576 1.2942 7.0693 O
```

The value obtained for the total energy is -6.7809 eV per atom.

Material: Ho2Mo3O12
Method: DFT, PBE with a Hubbard U
State: optimized geometry

POSCAR file:
```
Ho2Mo3O12
1.0
7.4297 0.0000 0.0000
0.0000 7.4297 0.0000
0.0000 0.0000 10.6739
Ho Mo O
4 6 24
Cartesian
1.3867 2.3282 2.8006 Ho
2.3282 6.0431 7.8733 Ho
5.1015 1.3867 7.8733 Ho
6.0431 5.1015 2.8006 Ho
0.0000 0.0000 0.0000 Mo
1.5357 2.1791 6.8762 Mo
2.1791 5.8940 3.7978 Mo
3.7149 3.7149 0.0000 Mo
5.2506 1.5357 3.7978 Mo
5.8940 5.2506 6.8762 Mo
0.0509 5.7569 7.5107 O
0.3387 1.4164 1.0428 O
0.9325 4.6474 3.2846 O
1.4164 7.0910 9.6311 O
1.4487 2.2661 5.0981 O
1.6728 0.0509 3.1632 O
2.0421 3.7657 7.5107 O
2.2661 5.9810 5.5758 O
2.2984 3.3761 1.0428 O
2.7823 0.9325 7.3893 O
3.3761 5.1313 9.6311 O
3.6640 2.0421 3.1632 O
3.7657 5.3876 3.1632 O
4.0536 2.2984 9.6311 O
4.6474 6.4972 7.3893 O
5.1313 4.0536 1.0428 O
5.1636 1.4487 5.5758 O
5.3876 3.6640 7.5107 O
5.7569 7.3789 3.1632 O
5.9810 5.1636 5.0981 O
6.0133 0.3387 9.6311 O
6.4972 2.7823 3.2846 O
7.0910 6.0133 1.0428 O
7.3789 1.6728 7.5107 O
```

The value obtained for the total energy is -7.5535 eV per atom.

Material: Ho2Mo3O12
Method: DFT, PBE with a Hubbard U
State: optimized geometry

POSCAR file:
```
Ho2Mo3O12
1.0
10.4673 0.0000 0.0000
0.0000 10.4819 0.0000
0.0000 0.0000 10.6854
Ho Mo O
8 12 48
Cartesian
0.0417 1.9601 0.0000 Ho
1.9595 5.2649 5.0672 Ho
3.2741 0.0239 5.0672 Ho
5.1919 7.2010 0.0000 Ho
5.2754 3.2809 0.0000 Ho
7.1932 10.4580 5.0672 Ho
8.5078 5.2170 5.0672 Ho
10.4256 8.5218 0.0000 Ho
0.0188 8.3190 4.0686 Mo
2.1554 5.3256 0.9964 Mo
2.5622 7.9077 7.8744 Mo
2.6714 2.6667 7.8744 Mo
3.0783 0.0847 0.9964 Mo
5.2148 3.0780 4.0686 Mo
5.2525 7.4038 4.0686 Mo
7.3890 10.3972 0.9964 Mo
7.7959 7.8152 7.8744 Mo
7.9051 2.5742 7.8744 Mo
8.3120 5.1563 0.9964 Mo
10.4485 2.1629 4.0686 Mo
0.0462 3.9208 4.5921 O
0.1565 2.0459 2.2979 O
1.2624 3.9371 0.3233 O
1.2932 8.6573 8.8901 O
1.3200 10.4469 0.4827 O
1.3248 1.2716 4.8329 O
1.4570 1.9069 8.9506 O
1.5330 6.8900 0.4074 O
1.6139 8.9511 4.5527 O
1.8199 6.6786 6.8049 O
1.9072 3.9198 6.8485 O
2.0315 5.3273 2.7736 O
3.2022 0.0864 2.7736 O
3.3265 9.1608 6.8485 O
3.4138 1.4376 6.8049 O
3.6198 3.7102 4.5527 O
3.7007 1.6491 0.4074 O
3.7766 7.1478 8.9506 O
3.9089 6.5125 4.8329 O
3.9136 5.2060 0.4827 O
3.9405 3.4164 8.8901 O
3.9712 9.1781 0.3233 O
5.0771 7.2868 2.2979 O
5.1875 9.1617 4.5921 O
5.2798 1.3202 4.5921 O
5.3902 3.1951 2.2979 O
6.4961 1.3038 0.3233 O
6.5268 7.0655 8.8901 O
6.5537 5.2759 0.4827 O
6.5584 3.9693 4.8329 O
6.6907 3.3341 8.9506 O
6.7666 8.8328 0.4074 O
6.8475 6.7717 4.5527 O
7.0536 9.0443 6.8049 O
7.1408 1.3211 6.8485 O
7.2651 10.3955 2.7736 O
8.4359 5.1546 2.7736 O
8.5601 6.5621 6.8485 O
8.6474 3.8033 6.8049 O
8.8534 1.5308 4.5527 O
8.9343 3.5919 0.4074 O
9.0103 8.5750 8.9506 O
9.1426 9.2103 4.8329 O
9.1473 0.0350 0.4827 O
9.1742 1.8246 8.8901 O
9.2049 6.5448 0.3233 O
10.3108 8.4360 2.2979 O
10.4212 6.5611 4.5921 O
```

The value obtained for the total energy is -7.5535 eV per atom.